## CaY5Mo2O12 (GGA+U)

Data for a relaxed structure of CaY5Mo2O12.

a b c (Å): 5.990 6.971 7.582
angles (deg): 104.99 90.31 114.25
Space group P1 (No. 1)
One atom of each set of equivalent atoms:
Ca: 0.000 0.000 0.000
Y: 0.217 0.355 0.364
Y: 0.469 0.927 0.999
Y: 0.502 0.949 0.477
Y: 0.866 0.682 0.206
Y: 0.867 0.682 0.644
Mo: 0.422 0.338 0.841
Mo: 0.933 0.333 0.840
O: 0.071 0.681 0.929
O: 0.100 0.643 0.419
O: 0.191 0.355 0.054
O: 0.197 0.351 0.650
O: 0.265 0.001 0.765
O: 0.269 0.019 0.255
O: 0.593 0.635 0.413
O: 0.616 0.666 0.934
O: 0.663 0.317 0.032
O: 0.667 0.322 0.635
O: 0.749 0.978 0.753
O: 0.776 0.008 0.255

Distance to the lowest polymorph of the same formula, kJ/mol of formula units: 68
Mass density, Mg/m³: 5.215